(1)
Material: ReAs2Pb
Method: DFT, PBE
State: relaxed

Cell and atoms, written as extended XYZ:
```
4
Lattice="9.609 0.018 0.010 9.079 3.147 0.010 9.079 1.538 2.746" Properties=species:S:1:pos:R:3 pbc="T T T"
As 0.413 0.070 0.041
As 6.982 1.183 0.696
Re 20.589 3.487 2.052
Pb 13.666 2.315 1.362
```

## Properties
The calculation puts the energy at -23.628 eV/cell. The symmetry is R3m (160). Its energy relative to the elements is 457 meV/atom. Its magnetization is 0.00 μB per cell.

(2)
Material: CeMg2Hg4
Method: DFT, PBE
State: relaxed

Cell and atoms, written as extended XYZ:
```
7
Lattice="-2.828 0.770 -3.982 -4.924 0.059 0.439 -2.358 8.540 0.256" Properties=species:S:1:pos:R:3 pbc="T T T"
Mg -2.526 2.405 -0.811
Mg -7.584 6.963 -2.476
Ce 0.000 0.000 0.000
Hg -7.663 4.068 -2.979
Hg -4.981 7.393 -1.173
Hg -5.129 1.976 -2.114
Hg -2.446 5.300 -0.307
```

## Properties
The calculation puts the energy at -11.920 eV/cell. The symmetry is R-3m (166). Its energy relative to the elements is -227 meV/atom. Its magnetization is 0.97 μB per cell.

(3)
Material: HgAsPd
Method: DFT, PBE
State: relaxed

Cell and atoms, written as extended XYZ:
```
3
Lattice="-0.679 -0.258 -3.223 2.787 -1.296 1.210 -2.998 -5.450 1.068" Properties=species:S:1:pos:R:3 pbc="T T T"
Hg -0.044 -0.079 0.016
As -0.228 -4.331 0.395
Pd -0.618 -2.594 -1.356
```

## Properties
The calculation puts the energy at -10.500 eV/cell. The symmetry is P3m1 (156). The relative energy among the computed polymorphs comes out at 0.000 eV per atom. Its energy relative to the elements is -119 meV/atom. Its magnetization is 0.00 μB per cell.

(4)
Material: Tl2Sb2P
Method: DFT, PBE
State: relaxed

Cell and atoms, written as extended XYZ:
```
10
Lattice="-4.719 -4.143 -3.642 5.209 -4.923 -1.149 -1.402 -2.596 4.769" Properties=species:S:1:pos:R:3 pbc="T T T"
Tl -1.279 -3.510 1.011
Tl 0.368 -8.153 -1.033
Tl 1.992 -5.386 0.951
Tl -2.903 -6.276 -0.973
Sb 1.180 -2.350 -0.932
Sb -0.689 -6.717 -3.859
Sb 2.780 -5.693 -2.282
Sb -2.289 -3.373 -2.509
P 0.245 -4.533 -2.396
P 0.000 0.000 0.000
```

## Properties
The calculation puts the energy at -34.728 eV/cell. The symmetry is P4/mbm (127). The value obtained for the raw formation energy is 205 meV per atom. Its magnetization is 0.00 μB per cell.

(5)
Material: Ac4CdPt2
Method: DFT, PBE
State: relaxed

Cell and atoms, written as extended XYZ:
```
14
Lattice="8.640 -1.195 -0.177 -1.814 8.532 0.176 -3.284 -3.788 7.137" Properties=species:S:1:pos:R:3 pbc="T T T"
Pt 2.992 5.771 1.828
Pt -2.063 0.209 5.397
Pt 2.257 -0.388 5.308
Pt 3.899 1.505 1.740
Ac 6.443 -0.336 2.126
Ac -0.043 -2.195 5.782
Ac 5.519 3.945 1.288
Ac 4.557 1.418 4.833
Ac 0.253 2.000 5.848
Ac 4.261 -2.777 4.768
Ac 2.279 -0.934 2.192
Ac 1.355 3.347 1.354
Cd -0.845 4.203 3.656
Cd -3.281 -3.785 7.137
```

## Properties
The calculation puts the energy at -68.400 eV/cell. The symmetry is Imma (74). The relative energy among the computed polymorphs comes out at 0.088 eV per atom. Its energy relative to the elements is -681 meV/atom. Its magnetization is 0.00 μB per cell.

(6)
Material: LaB3Au
Method: DFT, PBE
State: relaxed

Cell and atoms, written as extended XYZ:
```
5
Lattice="4.316 0.000 0.000 0.000 4.316 0.000 0.000 0.000 4.316" Properties=species:S:1:pos:R:3 pbc="T T T"
La 2.158 2.158 2.158
B 2.158 0.000 0.000
B 0.000 2.158 0.000
B 0.000 0.000 2.158
Au 0.000 0.000 0.000
```

## Properties
The calculation puts the energy at -22.974 eV/cell. The symmetry is Pm-3m (221). The relative energy among the computed polymorphs comes out at 0.000 eV per atom. Its energy relative to the elements is 1053 meV/atom. Its magnetization is 0.00 μB per cell.

(7)
Material: YBe4Tl
Method: DFT, PBE
State: relaxed

Cell and atoms, written as extended XYZ:
```
6
Lattice="-3.492 -2.867 -2.249 -4.711 1.725 -0.547 -1.717 1.242 -4.581" Properties=species:S:1:pos:R:3 pbc="T T T"
Be -5.522 -1.557 -3.914
Be -4.536 0.726 -5.209
Be -3.582 0.036 -2.664
Be -6.200 0.994 -2.968
Tl -7.440 0.074 -5.533
Y 0.000 0.000 0.000
```

## Properties
The calculation puts the energy at -21.735 eV/cell. The symmetry is F-43m (216). Its energy relative to the elements is 333 meV/atom. Its magnetization is 0.00 μB per cell.

(8)
Material: BaCd4Pd4
Method: DFT, PBE
State: relaxed

Cell and atoms, written as extended XYZ:
```
18
Lattice="5.013 0.000 0.000 0.000 9.336 0.000 0.000 0.000 9.336" Properties=species:S:1:pos:R:3 pbc="T T T"
Cd 0.005 8.274 3.696
Cd 5.008 5.640 8.274
Cd 0.005 1.062 5.640
Cd 2.502 5.730 0.972
Cd 2.512 0.972 3.606
Cd 2.502 3.606 8.364
Cd 5.008 3.696 1.062
Cd 2.512 8.364 5.730
Ba 2.507 4.668 4.668
Ba 0.000 0.000 0.000
Pd 5.009 2.923 7.554
Pd 0.004 1.782 2.923
Pd 2.502 2.886 1.745
Pd 5.009 6.413 1.782
Pd 2.502 6.450 7.591
Pd 2.511 1.745 6.450
Pd 2.511 7.591 2.886
Pd 0.004 7.554 6.413
```

## Properties
The calculation puts the energy at -58.106 eV/cell. The symmetry is I4/m (87). Its energy relative to the elements is -300 meV/atom. Its magnetization is 0.00 μB per cell.